VASP calculation (PBE-GGA) on a relaxed AlSeS crystal.

```
6
Lattice="-2.352 -2.377 1.026 0.236 -0.232 5.962 -5.233 4.401 4.157" Properties=species:S:1:pos:R:3 pbc="T T T"
S -2.062 0.017 7.235
S -5.288 1.775 3.910
Al -4.750 3.119 8.256
Al -2.600 -1.327 2.888
Se -6.106 1.313 6.926
Se -1.244 0.479 4.219
```

Results
offset from the most stable computed form = 0.122 eV per atom
density = 3.267 g/cm³
magnetic moment = 0.00 μB/f.u.
formation energy from raw total energies = -518 meV per atom
volume = 140.27 Å³/cell